Entry 1:
This record from the Alexandria database describes crystalline Te4Pd2Rh at its relaxed geometry. The functional is PBE.

raw formation energy	0.13	eV/atom
excess energy over the best structure of this formula in the dataset	3.405	eV per formula unit
total moment	0.000	μB/f.u.
energy	-4.20	eV per atom

```
data_Te4Pd2Rh
_symmetry_space_group_name_H-M 'I 4/m m m'
_symmetry_Int_Tables_number 139
_symmetry_space_group_name_Hall '-I 4 2'
_cell_length_a 5.2621
_cell_length_b 5.2621
_cell_length_c 13.0943
_cell_angle_alpha 90.00
_cell_angle_beta 90.00
_cell_angle_gamma 90.00
loop_
_atom_site_label
_atom_site_type_symbol
_atom_site_fract_x
_atom_site_fract_y
_atom_site_fract_z
Te1 Te 0.0000 0.0000 0.2042
Te2 Te 0.0000 0.5000 0.0000
Pd1 Pd 0.0000 0.0000 0.3990
Rh1 Rh 0.0000 0.0000 0.0000
```



Entry 2:
This record from the Alexandria database describes crystalline CdSi4Sb at its relaxed geometry. The functional is PBE.

raw formation energy	0.54	eV/atom
total moment	0.000	μB/f.u.
energy	-3.92	eV per atom

```
data_CdSi4Sb
_symmetry_space_group_name_H-M 'F -4 3 m'
_symmetry_Int_Tables_number 216
_symmetry_space_group_name_Hall 'F -4 2 3'
_cell_length_a 7.6314
_cell_length_b 7.6314
_cell_length_c 7.6314
_cell_angle_alpha 90.00
_cell_angle_beta 90.00
_cell_angle_gamma 90.00
loop_
_atom_site_label
_atom_site_type_symbol
_atom_site_fract_x
_atom_site_fract_y
_atom_site_fract_z
Cd1 Cd 0.0000 0.0000 0.0000
Si1 Si 0.1258 0.1258 0.3742
Sb1 Sb 0.2500 0.2500 0.7500
```



Entry 3:
This record from the Alexandria database describes crystalline Tc2SbBr at its relaxed geometry. The functional is PBE.

raw formation energy	0.66	eV/atom
excess energy over the best structure of this formula in the dataset	2.250	eV per formula unit
total moment	0.000	μB/f.u.
energy	-5.97	eV per atom

```
data_Tc2SbBr
_symmetry_space_group_name_H-M 'P 4/m m m'
_symmetry_Int_Tables_number 123
_symmetry_space_group_name_Hall '-P 4 2'
_cell_length_a 4.5980
_cell_length_b 4.5980
_cell_length_c 3.2294
_cell_angle_alpha 90.00
_cell_angle_beta 90.00
_cell_angle_gamma 90.00
loop_
_atom_site_label
_atom_site_type_symbol
_atom_site_fract_x
_atom_site_fract_y
_atom_site_fract_z
Tc1 Tc 0.0000 0.5000 0.0000
Sb1 Sb 0.0000 0.0000 0.5000
Br1 Br 0.5000 0.5000 0.5000
```



Entry 4:
This record from the Alexandria database describes crystalline MnIrBr2 at its relaxed geometry. The functional is PBE.

raw formation energy	0.62	eV/atom
excess energy over the best structure of this formula in the dataset	2.226	eV per formula unit
total moment	4.891	μB/f.u.
energy	-4.72	eV per atom

```
data_MnIrBr2
_symmetry_space_group_name_H-M 'P m m m'
_symmetry_Int_Tables_number 47
_cell_length_a 3.1968
_cell_length_b 4.2299
_cell_length_c 6.0003
_cell_angle_alpha 90.00
_cell_angle_beta 90.00
_cell_angle_gamma 90.00
loop_
_symmetry_equiv_pos_as_xyz
'x,y,z'
'-x,-y,-z'
'-x,-y,z'
'x,y,-z'
'x,-y,-z'
'-x,y,z'
'-x,y,-z'
'x,-y,z'
loop_
_atom_site_label
_atom_site_type_symbol
_atom_site_fract_x
_atom_site_fract_y
_atom_site_fract_z
Mn1 Mn 0.0000 0.0000 0.0000
Ir1 Ir 0.5000 0.0000 0.5000
Br1 Br 0.0000 0.5000 0.5000
Br2 Br 0.5000 0.5000 0.0000
```



Entry 5:
This record from the Alexandria database describes crystalline TbTiCd4 at its relaxed geometry. The functional is PBE.

formation enthalpy at 0 K	-0.05	eV per atom
total moment	2.673	μB/f.u.
energy	-2.74	eV per atom

```
data_TbTiCd4
_symmetry_space_group_name_H-M 'F -4 3 m'
_symmetry_Int_Tables_number 216
_symmetry_space_group_name_Hall 'F -4 2 3'
_cell_length_a 8.1469
_cell_length_b 8.1469
_cell_length_c 8.1469
_cell_angle_alpha 90.00
_cell_angle_beta 90.00
_cell_angle_gamma 90.00
loop_
_atom_site_label
_atom_site_type_symbol
_atom_site_fract_x
_atom_site_fract_y
_atom_site_fract_z
Tb1 Tb 0.0000 0.0000 0.0000
Ti1 Ti 0.2500 0.2500 0.2500
Cd1 Cd 0.1246 0.1246 0.6246
```



Entry 6:
This record from the Alexandria database describes crystalline PmPuPaSb at its relaxed geometry. The functional is PBE.

raw formation energy	-0.14	eV/atom
total moment	7.761	μB/f.u.
energy	-8.32	eV per atom

```
data_PmPuPaSb
_symmetry_space_group_name_H-M 'F -4 3 m'
_symmetry_Int_Tables_number 216
_symmetry_space_group_name_Hall 'F -4 2 3'
_cell_length_a 7.5165
_cell_length_b 7.5165
_cell_length_c 7.5165
_cell_angle_alpha 90.00
_cell_angle_beta 90.00
_cell_angle_gamma 90.00
loop_
_atom_site_label
_atom_site_type_symbol
_atom_site_fract_x
_atom_site_fract_y
_atom_site_fract_z
Pm1 Pm 0.0000 0.0000 0.0000
Pu1 Pu 0.2500 0.2500 0.7500
Pa1 Pa 0.0000 0.0000 0.5000
Sb1 Sb 0.2500 0.2500 0.2500
```



Please write out number 4 again, unchanged.
This record from the Alexandria database describes crystalline MnIrBr2 at its relaxed geometry. The functional is PBE.

raw formation energy	0.62	eV/atom
excess energy over the best structure of this formula in the dataset	2.226	eV per formula unit
total moment	4.891	μB/f.u.
energy	-4.72	eV per atom

```
data_MnIrBr2
_symmetry_space_group_name_H-M 'P m m m'
_symmetry_Int_Tables_number 47
_cell_length_a 3.1968
_cell_length_b 4.2299
_cell_length_c 6.0003
_cell_angle_alpha 90.00
_cell_angle_beta 90.00
_cell_angle_gamma 90.00
loop_
_symmetry_equiv_pos_as_xyz
'x,y,z'
'-x,-y,-z'
'-x,-y,z'
'x,y,-z'
'x,-y,-z'
'-x,y,z'
'-x,y,-z'
'x,-y,z'
loop_
_atom_site_label
_atom_site_type_symbol
_atom_site_fract_x
_atom_site_fract_y
_atom_site_fract_z
Mn1 Mn 0.0000 0.0000 0.0000
Ir1 Ir 0.5000 0.0000 0.5000
Br1 Br 0.0000 0.5000 0.5000
Br2 Br 0.5000 0.5000 0.0000
```



Q: Among the records above, which one has the highest energy?
A: TbTiCd4



Q: Which of these has the lowest energy?
A: PmPuPaSb